12
Lattice="5.6621 0.0000 0.0000 -2.8310 4.9036 0.0000 0.0000 0.0000 8.2840" Properties=species:S:1:pos:R:3 comment="CsV2GaO8 GGA+U optimized geometry" total_energy_ev_per_atom=-6.45 sg="P-3 (147)" pbc="T T T"
Cs 0.0000 0.0000 0.0000
V 2.8311 1.6345 2.4812
V 0.0000 3.2690 5.8029
Ga 0.0000 0.0000 4.1420
O 0.0000 3.2690 7.4911
O 1.3866 0.7940 3.0089
O 4.2812 0.8038 3.0089
O 2.8311 1.6345 0.7929
O -1.4501 4.0997 5.2752
O 1.4444 4.1095 5.2752
O 0.0057 1.5979 5.2752
O 2.8254 3.3057 3.0089

---

14
Lattice="5.4046 0.0000 -1.1782 0.0000 5.5940 0.0000 -3.6295 0.0000 8.5254" Properties=species:S:1:pos:R:3 comment="CsVGaO4 GGA+U optimized geometry" total_energy_ev_per_atom=-6.22 sg="P2_1/m (11)" pbc="T T T"
Cs 0.1329 4.1955 6.9339
Cs 1.6422 1.3985 0.4134
V 2.6946 4.1955 3.1157
V -0.9195 1.3985 4.2315
Ga -0.0689 4.1955 2.8880
Ga 1.8439 1.3985 4.4593
O -2.1506 2.6657 5.3928
O 3.9257 5.4626 1.9545
O 3.9257 2.9283 1.9545
O -2.1506 0.1313 5.3928
O 1.3555 4.1955 1.6827
O 0.4196 1.3985 5.6645
O 1.1635 4.1955 4.2685
O 0.6115 1.3985 3.0788